This record from the Alexandria database describes a relaxed CaBrCl2 crystal. The functional is PBE.

Properties
ΔE_f (raw) = -1.64 eV/atom
excess energy over the best structure of this formula in the dataset = 0 meV per atom
mass density = 2.08 g cm⁻³
DFT total energy = -3.477 eV/atom

abc: 7.1699 4.1218 10.4306
angles: 90.00 98.94 90.00
Last column: nearest neighbours and their distance in Å.
Space group P2_1 (No. 4)
Inequivalent atoms, fractional coordinates:
Ca1 0.2493 0.0000 0.4964 (multiplicity 2)  6 Cl 2.76-2.77
Br1 0.1406 0.9973 0.0155 (multiplicity 2)  2 Br 2.87
Cl1 0.1171 0.4999 0.6345 (multiplicity 2)  3 Ca 2.76-2.77
Cl2 0.3896 0.5000 0.3624 (multiplicity 2)  3 Ca 2.77